DFT (PBE) results for a relaxed YSiHg2 crystal.

Density = 9265 kg/m3
M_tot = 0.000 μB per formula unit
Uncorrected energy = -3.2621 eV/atom
Formation energy without anion corrections = -0.139 eV per atom

Cell lengths 5.8793, 5.8793, 5.8793 Å; angles 45.11, 45.11, 45.11 degrees
Atoms (fractional coordinates):
Y1 0.0000 0.0000 0.0000
Si1 0.5000 0.5000 0.5000
Hg1 0.2325 0.2325 0.2325
Hg2 0.7675 0.7675 0.7675